{
  "formula": "AcSm2YP4",
  "functional": "PBE",
  "state": "optimized geometry",
  "cell": [[-3.7116, -1.8633, -0.4429], [0.8611, -3.2390, 6.4104], [-2.7366, 4.2145, 5.2019]],
  "species": ["Ac", "Sm", "Sm", "Y", "P", "P", "P", "P"],
  "fractional_positions": [[0.5000, 0.5000, 0.0000], [0.0000, 0.0000, 0.0000], [0.5000, 0.0000, 0.5000], [0.0000, 0.5000, 0.5000], [0.0000, 0.7600, 0.7362], [0.0000, 0.2400, 0.2638], [0.5000, 0.7522, 0.2590], [0.5000, 0.2478, 0.7410]],
  "delta_e_f_ev_per_atom": -1.513,
  "dos_at_fermi_per_ev_fu": 0.70,
  "spacegroup": "P2/m"
}